Here is a relaxed CeEuAu2 crystal from the Alexandria database. Energies are from PBE-GGA.

Computed properties:
- Symmetry: R-3m, No. 166
- Calculated formation energy: -609.0 meV per atom
- Offset from the most stable computed form: 0.085 eV per atom
- Final energy: -0.463 Ry per atom

abc: 7.6405 7.6405 7.6405
angles: 33.05 33.05 33.05
Atoms (fractional coordinates):
Ce1 0.0000 0.0000 0.0000
Eu1 0.5000 0.5000 0.5000
Au1 0.2539 0.2539 0.2539
Au2 0.7461 0.7461 0.7461

***

Here is a relaxed CeEuAu2 crystal from the Alexandria database. Energies are from PBE-GGA.

Computed properties:
- Symmetry: P4/mmm, No. 123
- Calculated formation energy: -694.4 meV per atom
- Offset from the most stable computed form: 0.000 eV per atom
- Final energy: -0.469 Ry per atom

abc: 3.7365 3.7365 7.4509
angles: 90.00 90.00 90.00
Atoms (fractional coordinates):
Ce1 0.0000 0.0000 0.0000
Eu1 0.0000 0.0000 0.5000
Au1 0.5000 0.5000 0.2310
Au2 0.5000 0.5000 0.7690

***

Here is a relaxed CeEuAu crystal from the Alexandria database. Energies are from PBE-GGA.

Computed properties:
- Symmetry: P3m1, No. 156
- Calculated formation energy: -245.6 meV per atom
- Offset from the most stable computed form: 0.122 eV per atom
- Final energy: -0.495 Ry per atom

abc: 4.9969 4.9969 3.8099
angles: 90.00 90.00 120.00
Atoms (fractional coordinates):
Ce1 0.0000 0.0000 0.0000
Eu1 0.6667 0.3333 0.3945
Au1 0.3333 0.6667 0.7183

***

Here is a relaxed CeEuGaAu crystal from the Alexandria database. Energies are from PBE-GGA.

Computed properties:
- Symmetry: F-43m, No. 216
- Calculated formation energy: -541.9 meV per atom
- Final energy: -0.453 Ry per atom

abc: 5.2578 5.2578 5.2578
angles: 60.00 60.00 60.00
Atoms (fractional coordinates):
Ce1 0.0000 0.0000 0.0000
Eu1 0.5000 0.5000 0.5000
Ga1 0.7500 0.7500 0.7500
Au1 0.2500 0.2500 0.2500

***

Here is a relaxed CeEuGeAu crystal from the Alexandria database. Energies are from PBE-GGA.

Computed properties:
- Symmetry: F-43m, No. 216
- Calculated formation energy: -657.7 meV per atom
- Final energy: -0.491 Ry per atom

abc: 5.2589 5.2589 5.2589
angles: 60.00 60.00 60.00
Atoms (fractional coordinates):
Ce1 0.0000 0.0000 0.0000
Eu1 0.5000 0.5000 0.5000
Ge1 0.2500 0.2500 0.2500
Au1 0.7500 0.7500 0.7500

***

Here is a relaxed CeEuIrAu crystal from the Alexandria database. Energies are from PBE-GGA.

Computed properties:
- Symmetry: F-43m, No. 216
- Calculated formation energy: -571.9 meV per atom
- Final energy: -0.563 Ry per atom

abc: 5.0920 5.0920 5.0920
angles: 60.00 60.00 60.00
Atoms (fractional coordinates):
Ce1 0.0000 0.0000 0.0000
Eu1 0.5000 0.5000 0.5000
Ir1 0.7500 0.7500 0.7500
Au1 0.2500 0.2500 0.2500

***

Here is a relaxed LiCeEuAu crystal from the Alexandria database. Energies are from PBE-GGA.

Computed properties:
- Symmetry: F-43m, No. 216
- Calculated formation energy: -244.7 meV per atom
- Final energy: -0.411 Ry per atom

abc: 5.2930 5.2930 5.2930
angles: 60.00 60.00 60.00
Atoms (fractional coordinates):
Li1 0.0000 0.0000 0.0000
Ce1 0.2500 0.2500 0.2500
Eu1 0.7500 0.7500 0.7500
Au1 0.5000 0.5000 0.5000

***

Here is a relaxed CeEuPdAu crystal from the Alexandria database. Energies are from PBE-GGA.

Computed properties:
- Symmetry: F-43m, No. 216
- Calculated formation energy: -646.2 meV per atom
- Final energy: -0.501 Ry per atom

abc: 5.1783 5.1783 5.1783
angles: 60.00 60.00 60.00
Atoms (fractional coordinates):
Ce1 0.0000 0.0000 0.0000
Eu1 0.5000 0.5000 0.5000
Pd1 0.7500 0.7500 0.7500
Au1 0.2500 0.2500 0.2500

***

Here is a relaxed CeEuPtAu crystal from the Alexandria database. Energies are from PBE-GGA.

Computed properties:
- Symmetry: F-43m, No. 216
- Calculated formation energy: -809.3 meV per atom
- Final energy: -0.529 Ry per atom

abc: 5.1544 5.1544 5.1544
angles: 60.00 60.00 60.00
Atoms (fractional coordinates):
Ce1 0.0000 0.0000 0.0000
Eu1 0.5000 0.5000 0.5000
Pt1 0.2500 0.2500 0.2500
Au1 0.7500 0.7500 0.7500

***

Here is a relaxed CeEuTlAu crystal from the Alexandria database. Energies are from PBE-GGA.

Computed properties:
- Symmetry: F-43m, No. 216
- Calculated formation energy: -457.1 meV per atom
- Final energy: -0.435 Ry per atom

abc: 5.4174 5.4174 5.4174
angles: 60.00 60.00 60.00
Atoms (fractional coordinates):
Ce1 0.0000 0.0000 0.0000
Eu1 0.5000 0.5000 0.5000
Tl1 0.2500 0.2500 0.2500
Au1 0.7500 0.7500 0.7500

***

Here is a relaxed CeEuZnAu crystal from the Alexandria database. Energies are from PBE-GGA.

Computed properties:
- Symmetry: F-43m, No. 216
- Calculated formation energy: -426.2 meV per atom
- Final energy: -0.413 Ry per atom

abc: 5.2422 5.2422 5.2422
angles: 60.00 60.00 60.00
Atoms (fractional coordinates):
Ce1 0.0000 0.0000 0.0000
Eu1 0.5000 0.5000 0.5000
Zn1 0.7500 0.7500 0.7500
Au1 0.2500 0.2500 0.2500

***

Here is a relaxed CeAuF crystal from the Alexandria database. Energies are from PBE-GGA.

Computed properties:
- Formation energy from raw total energies: -1.84 eV per atom
- Symmetry: Fddd, No. 70
- Offset from the most stable computed form: 0.059 eV per atom
- Final energy: -0.407 Ry per atom

abc: 8.3535 8.0304 6.9022
angles: 67.54 62.67 49.78
Atoms (fractional coordinates):
Ce1 0.1097 0.6403 0.1097
Ce2 0.3597 0.8903 0.3597
Ce3 0.6403 0.1097 0.6403
Ce4 0.8903 0.3597 0.8903
Au1 0.2681 0.2681 0.4819
Au2 0.4819 0.4819 0.2681
Au3 0.5181 0.5181 0.7319
Au4 0.7319 0.7319 0.5181
F1 0.0000 0.0000 0.0000
F2 0.0000 0.0000 0.5000
F3 0.0000 0.5000 0.0000
F4 0.5000 0.0000 0.0000